No. 1
Material: LiPmGaPb
Method: DFT, PBE
State: optimized geometry

Summary:
Total moment ... 0.00 Bohr magnetons per cell
Formation enthalpy at 0 K ... -34.0 kJ/mol of atoms
Mass density ... 7.3 g/cm³

POSCAR file:
```
LiPmGaPb
1.0
0.000 3.652 3.652
3.652 0.000 3.652
3.652 3.652 0.000
Li Pm Ga Pb
1 1 1 1
Direct
0.000 0.000 0.000
0.500 0.500 0.500
0.750 0.750 0.750
0.250 0.250 0.250
```

***

No. 2
Material: LiPrGaPb
Method: DFT, PBE
State: optimized geometry

Summary:
Total moment ... 0.00 Bohr magnetons per cell
Formation enthalpy at 0 K ... -33.6 kJ/mol of atoms
Mass density ... 7.0 g/cm³

POSCAR file:
```
LiPrGaPb
1.0
0.000 3.690 3.690
3.690 0.000 3.690
3.690 3.690 0.000
Li Pr Ga Pb
1 1 1 1
Direct
0.000 0.000 0.000
0.500 0.500 0.500
0.250 0.250 0.250
0.750 0.750 0.750
```

***

No. 3
Material: LiGaRhPb
Method: DFT, PBE
State: optimized geometry

Summary:
Total moment ... 0.00 Bohr magnetons per cell
Formation enthalpy at 0 K ... -26.9 kJ/mol of atoms
Mass density ... 9.4 g/cm³

POSCAR file:
```
LiGaRhPb
1.0
0.000 3.247 3.247
3.247 0.000 3.247
3.247 3.247 0.000
Li Ga Rh Pb
1 1 1 1
Direct
0.000 0.000 0.000
0.750 0.750 0.750
0.500 0.500 0.500
0.250 0.250 0.250
```

***

No. 4
Material: LiGaRuPb2
Method: DFT, PBE
State: optimized geometry

Summary:
Energy above the most stable polymorph in this dataset ... 35.4 kJ per mole of atoms
Total moment ... 0.00 Bohr magnetons per cell
Formation enthalpy at 0 K ... 65.5 kJ/mol of atoms
Mass density ... 9.1 g/cm³

POSCAR file:
```
LiGaRuPb2
1.0
4.978 0.000 0.000
0.000 4.978 0.000
0.000 0.000 4.379
Li Ga Ru Pb
1 1 1 2
Direct
0.000 0.000 0.000
0.500 0.500 0.500
0.000 0.000 0.500
0.000 0.500 0.000
0.500 0.000 0.000
```

***

No. 5
Material: LiGaRuPb2
Method: DFT, PBE
State: optimized geometry

Summary:
Energy above the most stable polymorph in this dataset ... 0.0 kJ per mole of atoms
Total moment ... 0.00 Bohr magnetons per cell
Formation enthalpy at 0 K ... 30.1 kJ/mol of atoms
Mass density ... 7.4 g/cm³

POSCAR file:
```
LiGaRuPb2
1.0
5.221 0.000 0.000
0.000 5.221 0.000
0.000 0.000 4.869
Li Ga Ru Pb
1 1 1 2
Direct
0.000 0.000 0.000
0.500 0.500 0.000
0.000 0.000 0.500
0.000 0.500 0.500
0.500 0.000 0.500
```

***

No. 6
Material: LiGaSbPb
Method: DFT, PBE
State: optimized geometry

Summary:
Total moment ... 0.00 Bohr magnetons per cell
E_form (uncorrected) ... -0.067 eV/atom
Mass density ... 7.1 g/cm³

POSCAR file:
```
LiGaSbPb
1.0
0.000 3.622 3.622
3.622 0.000 3.622
3.622 3.622 0.000
Li Ga Sb Pb
1 1 1 1
Direct
0.000 0.000 0.000
0.500 0.500 0.500
0.750 0.750 0.750
0.250 0.250 0.250
```

***

- Look up the mass density of the first one.
  7.3 g/cm³

***

- What is the mass density in the fourth record?
  9.1 g/cm³